# Pb5Se, relaxed, DFT PBE-GGA
data_Pb5Se
_space_group_name_H-M_alt 'P -6 2 m'
_space_group_IT_number 189
_space_group_name_Hall 'P -6 -2'
_cell_length_a 5.9811
_cell_length_b 5.9811
_cell_length_c 5.7739
_cell_angle_alpha 90.00
_cell_angle_beta 90.00
_cell_angle_gamma 120.00
loop_
_atom_site_label
_atom_site_fract_x
_atom_site_fract_y
_atom_site_fract_z
Pb1 0.0000 0.6731 0.0000
Pb2 0.3333 0.6667 0.5000
Se1 0.0000 0.0000 0.5000
# Uncorrected formation energy in meV per atom: -16.4
# VASP energy in eV per atom: -3.69
# Polymorph energy (0 for the lowest one) in eV/atom: 0.047